DFT (PBE) results for a relaxed structure of Tm4HfHg5.

Summary:
magnetization	0.6	μB/cell
mass density	12853	kg/m³
E	-3.2985	eV per atom

Lattice parameters (Å, degrees): 3.641 3.641 18.100 90.00 90.00 90.00
Sites, in units of the cell vectors:
Tm 0.000 0.000 0.103
Tm 0.000 0.000 0.307
Tm 0.000 0.000 0.693
Tm 0.000 0.000 0.897
Hf 0.000 0.000 0.500
Hg 0.500 0.500 0.000
Hg 0.500 0.500 0.205
Hg 0.500 0.500 0.408
Hg 0.500 0.500 0.592
Hg 0.500 0.500 0.795